1.
Computed, not measured: a geometry-optimized LaMgZr2 structure at the PBE level of DFT.

The density of states at the Fermi level comes out at 5.64 states/eV/f.u. As for the energy of formation: 0.129 eV/atom.

The space group is I-4m2 (No. 119) and the conventional cell measures 4.714, 4.714 and 9.154 Å, with angles of 90.00, 90.00 and 90.00 degrees. The inequivalent atoms are La at (0.000, 0.000, 0.000), Mg at (0.000, 0.500, 0.250), Zr at (0.000, 0.000, 0.500) and Zr at (0.000, 0.500, 0.750).

***

2.
Computed, not measured: a geometry-optimized LaMg6Zr structure at the PBE level of DFT.

The density of states at the Fermi level comes out at 5.80 states/eV/f.u. As for the energy of formation: 0.078 eV/atom.

The space group is Amm2 (No. 38) and the conventional cell measures 5.161, 6.582 and 11.662 Å, with angles of 90.00, 90.00 and 90.00 degrees. The inequivalent atoms are La at (0.000, 0.000, 0.000), Mg at (0.000, 0.000, 0.485), Mg at (0.000, 0.239, 0.240), Mg at (0.500, 0.000, 0.644), Mg at (0.500, 0.243, 0.388) and Zr at (0.500, 0.000, 0.135).

***

Question: What is the formula in the first record?
Answer: LaMgZr2